PrNdZn2Pb2 | PBE | relaxed

The structure in POSCAR format:
```
PrNdZn2Pb2
1.0
4.6754 0.0000 0.0000
-2.3377 4.0490 0.0000
0.0000 0.0000 16.6594
Pr Nd Zn Pb
2 2 4 4
Cartesian
0.0000 0.0000 0.0000
0.0000 0.0000 8.3297
0.0000 0.0000 4.1648
0.0000 0.0000 12.4945
0.0000 2.6993 2.7115
0.0000 2.6993 5.6182
2.3377 1.3497 11.0412
2.3377 1.3497 13.9479
0.0000 2.6993 10.2106
0.0000 2.6993 14.7785
2.3377 1.3497 1.8809
2.3377 1.3497 6.4488
```

The total energy is -22.37 eV per formula unit. The total magnetization comes out at 0.00 μB/f.u.

***

NdPt4Pb | PBE | relaxed

The structure in POSCAR format:
```
NdPt4Pb
1.0
0.0000 3.8836 3.8836
3.8836 0.0000 3.8836
3.8836 3.8836 0.0000
Nd Pt Pb
1 4 1
Cartesian
0.0000 0.0000 0.0000
2.9129 2.9129 2.9129
4.8543 4.8543 2.9129
4.8543 2.9129 4.8543
2.9129 4.8543 4.8543
5.8254 5.8254 5.8254
```

The total energy is -36.84 eV per formula unit. The total magnetization comes out at 0.00 μB/f.u.

***

NdPuPb | PBE | relaxed

The structure in POSCAR format:
```
NdPuPb
1.0
7.4997 0.0000 0.0000
0.0000 7.4997 0.0000
0.0000 0.0000 7.4997
Nd Pu Pb
4 4 4
Cartesian
0.0000 0.0000 0.0000
0.0000 3.7498 3.7498
3.7498 0.0000 3.7498
3.7498 3.7498 0.0000
1.8749 1.8749 5.6247
1.8749 5.6247 1.8749
5.6247 1.8749 1.8749
5.6247 5.6247 5.6247
1.8749 1.8749 1.8749
1.8749 5.6247 5.6247
5.6247 1.8749 5.6247
5.6247 5.6247 1.8749
```

The total energy is -19.10 eV per formula unit. The total magnetization comes out at 0.69 μB/f.u.

***

RbNdPbSe3 | PBE | relaxed

The structure in POSCAR format:
```
RbNdPbSe3
1.0
2.1681 -8.5327 0.0000
2.1681 8.5327 0.0000
0.0000 0.0000 12.2815
Rb Nd Pb Se
2 2 2 6
Cartesian
2.1681 5.4285 9.2112
2.1681 -5.4285 3.0704
2.1681 0.0000 0.0000
2.1681 0.0000 6.1408
2.1681 6.8289 3.0704
2.1681 -6.8289 9.2112
2.1681 6.5209 0.1111
2.1681 6.5209 6.0296
2.1681 0.2091 3.0704
2.1681 -0.2091 9.2112
2.1681 -6.5209 6.2519
2.1681 -6.5209 12.1704
```

The total energy is -27.01 eV per formula unit. The total magnetization comes out at 0.01 μB/f.u.

***

RbNdTe3Pb | PBE | relaxed

The structure in POSCAR format:
```
RbNdTe3Pb
1.0
2.3121 -8.5125 0.0000
2.3121 8.5125 0.0000
0.0000 0.0000 12.9442
Rb Nd Te Pb
2 2 6 2
Cartesian
2.3121 4.8597 9.7082
2.3121 -4.8597 3.2361
2.3121 0.0000 0.0000
2.3121 0.0000 6.4721
2.3121 6.3040 0.2115
2.3121 6.3040 6.2606
2.3121 0.6208 3.2361
2.3121 -0.6208 9.7082
2.3121 -6.3040 6.6836
2.3121 -6.3040 12.7327
2.3121 7.1246 3.2361
2.3121 -7.1246 9.7082
```

The total energy is -24.41 eV per formula unit. The total magnetization comes out at 0.00 μB/f.u.

***

Nd2PbS5 | PBE | relaxed

The structure in POSCAR format:
```
Nd2PbS5
1.0
7.8443 0.0000 0.0000
0.0000 11.7602 0.0000
0.0000 0.0000 4.0057
Nd Pb S
4 2 10
Cartesian
0.2961 2.0231 0.0000
3.6261 7.9032 0.0000
4.2182 3.8570 0.0000
7.5482 9.7371 0.0000
0.0000 5.8801 2.0028
3.9221 0.0000 2.0028
0.0000 0.0000 2.0028
1.3818 8.2505 2.0028
1.4045 4.7211 0.0000
2.5177 10.6012 0.0000
2.5403 2.3704 2.0028
3.9221 5.8801 2.0028
5.3040 9.3898 2.0028
5.3266 1.1590 0.0000
6.4398 7.0391 0.0000
6.4625 3.5097 2.0028
```

The total energy is -44.30 eV per formula unit. The total magnetization comes out at 0.01 μB/f.u.

***

NdPb2S3 | PBE | relaxed

The structure in POSCAR format:
```
NdPb2S3
1.0
4.0480 0.0000 0.0000
-2.0240 3.5056 0.0000
0.0000 0.0000 11.6385
Nd Pb S
1 2 3
Cartesian
0.0000 0.0000 0.0000
0.0000 2.3371 7.6764
2.0240 1.1685 3.9621
0.0000 0.0000 5.8193
0.0000 2.3371 1.5938
2.0240 1.1685 10.0448
```

The total energy is -30.59 eV per formula unit. The total magnetization comes out at 0.01 μB/f.u.

***

NdSnPbS3 | PBE | relaxed

The structure in POSCAR format:
```
NdSnPbS3
1.0
2.0046 -7.3834 0.0000
2.0046 7.3834 0.0000
0.0000 0.0000 11.3644
Nd Sn Pb S
2 2 2 6
Cartesian
0.0000 0.0000 0.0000
0.0000 0.0000 5.6822
2.0046 2.1830 8.5233
2.0046 -2.1830 2.8411
2.0046 2.3638 2.8411
2.0046 -2.3638 8.5233
2.0046 7.2520 2.8411
2.0046 1.9631 5.7357
2.0046 1.9631 11.3110
2.0046 -1.9631 0.0534
2.0046 -1.9631 5.6288
2.0046 -7.2520 8.5233
```

The total energy is -30.43 eV per formula unit. The total magnetization comes out at 0.01 μB/f.u.